## ZrNiOF2 (GGA+U)

Data for ZrNiOF2 after structural relaxation.

abc: 3.8787 3.8787 4.0879
angles: 90.00 90.00 90.00
Atoms (fractional coordinates):
Zr 0.0000 0.0000 0.0000
Ni 0.5000 0.5000 0.5000
O 0.5000 0.5000 0.0000
F 0.0000 0.5000 0.5000
F 0.5000 0.0000 0.5000

Magnetization, μB/cell: 3.9
Raw total energy, eV per atom: -5.38
ΔE to the lowest computed polymorph, kJ/mol of formula units: 285.0
D(E_F), states/eV/atom: 0.4728